No. 1
Below is crystalline AcPm2TiN4 at its relaxed geometry, with properties calculated at the PBE level.

Energy relative to the elements, uncorrected (meV/atom): -1339
Electronic total energy (eV per atom): -8.190
Crystal system: orthorhombic
Volume (Å³/f.u.): 133.9

a b c (Å): 3.5539 12.3178 12.2372
angles (deg): 90.00 90.00 90.00
Space group Cmcm (No. 63)
Inequivalent atoms, fractional coordinates:
1 Ac 0.0000 0.0944 0.2500 (multiplicity 4)
2 Pm 0.0000 0.3699 0.0405 (multiplicity 8)
3 Ti 0.0000 0.1709 0.7500 (multiplicity 4)
4 N 0.0000 0.0000 0.0000 (multiplicity 4)
5 N 0.0000 0.2645 0.6283 (multiplicity 8)
6 N 0.0000 0.4164 0.2500 (multiplicity 4)

---

No. 2
Below is crystalline AcPm2TlN at its relaxed geometry, with properties calculated at the PBE level.

Energy relative to the elements, uncorrected (meV/atom): -742
Electronic total energy (eV per atom): -5.602
Crystal system: tetragonal
Volume (Å³/f.u.): 134.9

a b c (Å): 5.0576 5.0576 5.2741
angles (deg): 90.00 90.00 90.00
Space group P4/mmm (No. 123)
Inequivalent atoms, fractional coordinates:
1 Ac 0.0000 0.0000 0.0000 (multiplicity 1)
2 Pm 0.0000 0.5000 0.5000 (multiplicity 2)
3 Tl 0.5000 0.5000 0.0000 (multiplicity 1)
4 N 0.0000 0.0000 0.5000 (multiplicity 1)

---

No. 3
Below is crystalline Ac4Pm3UN8 at its relaxed geometry, with properties calculated at the PBE level.

Energy relative to the elements, uncorrected (meV/atom): -1239
Electronic total energy (eV per atom): -8.025
Crystal system: trigonal
Volume (Å³/f.u.): 290.3

a b c (Å): 7.3636 7.3636 18.5483
angles (deg): 90.00 90.00 120.00
Space group R-3m (No. 166, hexagonal axes)
Inequivalent atoms, fractional coordinates:
1 Ac 0.0000 0.0000 0.0000 (multiplicity 3)
2 Ac 0.0000 0.5000 0.0000 (multiplicity 9)
3 Pm 0.0000 0.5000 0.5000 (multiplicity 9)
4 U 0.0000 0.0000 0.5000 (multiplicity 3)
5 N 0.0000 0.0000 0.2437 (multiplicity 6)
6 N 0.0329 0.5164 0.2358 (multiplicity 18)

---

No. 4
Below is crystalline Ac2PmUN4 at its relaxed geometry, with properties calculated at the PBE level.

Energy relative to the elements, uncorrected (meV/atom): -1266
Electronic total energy (eV per atom): -8.461
Crystal system: monoclinic
Volume (Å³/f.u.): 141.3

a b c (Å): 6.2682 3.6530 6.5123
angles (deg): 90.00 108.66 90.00
Space group P2/m (No. 10)
Inequivalent atoms, fractional coordinates:
1 Ac 0.0000 0.0000 0.0000 (multiplicity 1)
2 Ac 0.5000 0.5000 0.0000 (multiplicity 1)
3 Pm 0.0000 0.5000 0.5000 (multiplicity 1)
4 U 0.5000 0.0000 0.5000 (multiplicity 1)
5 N 0.2729 0.0000 0.6988 (multiplicity 2)
6 N 0.2930 0.5000 0.3063 (multiplicity 2)

---

No. 5
Below is crystalline AcPm2VN4 at its relaxed geometry, with properties calculated at the PBE level.

Energy relative to the elements, uncorrected (meV/atom): -1221
Electronic total energy (eV per atom): -8.225
Crystal system: orthorhombic
Volume (Å³/f.u.): 130.8

a b c (Å): 3.5272 12.2468 12.1132
angles (deg): 90.00 90.00 90.00
Space group Cmcm (No. 63)
Inequivalent atoms, fractional coordinates:
1 Ac 0.0000 0.0843 0.2500 (multiplicity 4)
2 Pm 0.0000 0.3694 0.0424 (multiplicity 8)
3 V 0.0000 0.1772 0.7500 (multiplicity 4)
4 N 0.0000 0.0000 0.0000 (multiplicity 4)
5 N 0.0000 0.2640 0.6299 (multiplicity 8)
6 N 0.0000 0.4108 0.2500 (multiplicity 4)

---

No. 6
Below is crystalline Ac2PmWN4 at its relaxed geometry, with properties calculated at the PBE level.

Energy relative to the elements, uncorrected (meV/atom): -732
Electronic total energy (eV per atom): -8.135
Crystal system: orthorhombic
Volume (Å³/f.u.): 147.3

a b c (Å): 3.6039 12.6093 12.9698
angles (deg): 90.00 90.00 90.00
Space group Cmcm (No. 63)
Inequivalent atoms, fractional coordinates:
1 Ac 0.0000 0.1333 0.0376 (multiplicity 8)
2 Pm 0.0000 0.3822 0.2500 (multiplicity 4)
3 W 0.0000 0.3368 0.7500 (multiplicity 4)
4 N 0.0000 0.0911 0.2500 (multiplicity 4)
5 N 0.0000 0.2222 0.6460 (multiplicity 8)
6 N 0.0000 0.5000 0.0000 (multiplicity 4)

---

No. 7
Below is crystalline AcPmZnN3 at its relaxed geometry, with properties calculated at the PBE level.

Energy relative to the elements, uncorrected (meV/atom): -648
Electronic total energy (eV per atom): -6.500
Crystal system: monoclinic
Volume (Å³/f.u.): 104.3

a b c (Å): 7.5795 3.6070 7.7219
angles (deg): 90.00 98.82 90.00
Space group P2_1/m (No. 11)
Inequivalent atoms, fractional coordinates:
1 Ac 0.1703 0.2500 0.2013 (multiplicity 2)
2 Pm 0.3573 0.7500 0.8320 (multiplicity 2)
3 Zn 0.1031 0.2500 0.6012 (multiplicity 2)
4 N 0.1256 0.2500 0.8642 (multiplicity 2)
5 N 0.1723 0.7500 0.5008 (multiplicity 2)
6 N 0.4088 0.7500 0.1433 (multiplicity 2)

---

No. 8
Below is crystalline Ac2PmZrN4 at its relaxed geometry, with properties calculated at the PBE level.

Energy relative to the elements, uncorrected (meV/atom): -1244
Electronic total energy (eV per atom): -8.097
Crystal system: monoclinic
Volume (Å³/f.u.): 137.4

a b c (Å): 6.2613 3.6087 6.4250
angles (deg): 90.00 108.80 90.00
Space group P2/m (No. 10)
Inequivalent atoms, fractional coordinates:
1 Ac 0.0000 0.0000 0.0000 (multiplicity 1)
2 Ac 0.5000 0.5000 0.0000 (multiplicity 1)
3 Pm 0.0000 0.5000 0.5000 (multiplicity 1)
4 Zr 0.5000 0.0000 0.5000 (multiplicity 1)
5 N 0.2620 0.0000 0.7156 (multiplicity 2)
6 N 0.2774 0.5000 0.2869 (multiplicity 2)

---

No. 9
Below is crystalline AcPrN2 at its relaxed geometry, with properties calculated at the PBE level.

Energy relative to the elements, uncorrected (meV/atom): -875
Electronic total energy (eV per atom): -7.260
Crystal system: trigonal
Volume (Å³/f.u.): 77.5

a b c (Å): 3.7041 3.7041 6.5260
angles (deg): 90.00 90.00 120.00
Space group P-3m1 (No. 164)
Inequivalent atoms, fractional coordinates:
1 Ac 0.0000 0.0000 0.0000 (multiplicity 1)
2 Pr 0.0000 0.0000 0.5000 (multiplicity 1)
3 N 0.3333 0.6667 0.7408 (multiplicity 2)

---

No. 10
Below is crystalline Ac2PrN3 at its relaxed geometry, with properties calculated at the PBE level.

Energy relative to the elements, uncorrected (meV/atom): -1124
Electronic total energy (eV per atom): -7.453
Crystal system: tetragonal
Volume (Å³/f.u.): 120.9

a b c (Å): 3.8208 3.8208 16.5599
angles (deg): 90.00 90.00 90.00
Space group I4/mmm (No. 139)
Inequivalent atoms, fractional coordinates:
1 Ac 0.0000 0.0000 0.1601 (multiplicity 4)
2 Pr 0.0000 0.0000 0.5000 (multiplicity 2)
3 N 0.0000 0.0000 0.0000 (multiplicity 2)
4 N 0.0000 0.0000 0.3464 (multiplicity 4)

---

No. 11
Below is crystalline Ac3PrN4 at its relaxed geometry, with properties calculated at the PBE level.

Energy relative to the elements, uncorrected (meV/atom): -1092
Electronic total energy (eV per atom): -7.393
Crystal system: cubic
Volume (Å³/f.u.): 162.6

a b c (Å): 5.4581 5.4581 5.4581
angles (deg): 90.00 90.00 90.00
Space group Pm-3m (No. 221)
Inequivalent atoms, fractional coordinates:
1 Ac 0.0000 0.0000 0.5000 (multiplicity 3)
2 Pr 0.5000 0.5000 0.5000 (multiplicity 1)
3 N 0.0000 0.0000 0.0000 (multiplicity 1)
4 N 0.0000 0.5000 0.5000 (multiplicity 3)

---

No. 12
Below is crystalline AcPr3N3 at its relaxed geometry, with properties calculated at the PBE level.

Energy relative to the elements, uncorrected (meV/atom): -868
Electronic total energy (eV per atom): -7.072
Crystal system: trigonal
Volume (Å³/f.u.): 175.6

a b c (Å): 6.5029 6.5029 28.7672
angles (deg): 90.00 90.00 120.00
Space group R-3 (No. 148, hexagonal axes)
Inequivalent atoms, fractional coordinates:
1 Ac 0.0000 0.0000 0.1668 (multiplicity 6)
2 Pr 0.0000 0.3164 0.3982 (multiplicity 18)
3 N 0.9995 0.3656 0.5642 (multiplicity 18)

---

Q: Which of these has the highest electronic total energy?
A: AcPm2TlN